36
Lattice="6.957 0.000 0.000 -1.480 8.051 0.000 -2.445 -1.827 9.109" Properties=species:S:1:pos:R:3 comment="LiFeF4 | Alexandria via LeMat-Bulk | PBE with a Hubbard U | optimized geometry" final_energy_ev_per_atom=-5.08 crystal_system=triclinic n_ef_per_ev_atom=0.000 spacegroup=P-1 m_tot_mub_per_cell=29.97 relative_energy_ev_per_fu=0.41 pbc="T T T"
Li -1.247 3.523 2.080
Li -1.010 -0.721 7.805
Li 2.223 0.759 3.333
Li 0.809 5.465 5.776
Li 4.042 6.944 1.304
Li 4.280 2.701 7.029
Fe -1.316 0.684 4.401
Fe 0.459 6.288 0.649
Fe 0.804 1.831 6.495
Fe 2.228 4.393 2.614
Fe 2.573 -0.064 8.460
Fe 4.349 5.540 4.708
F -2.508 0.069 8.495
F -1.306 -0.877 5.806
F -0.941 1.976 3.128
F -1.168 1.828 6.043
F -1.671 3.052 8.533
F -0.763 5.472 4.744
F 0.383 4.607 2.136
F -1.744 5.808 8.480
F 0.793 0.824 4.830
F 0.572 7.397 2.178
F 0.488 0.525 7.845
F 2.136 2.572 2.749
F 0.896 3.652 6.360
F 2.544 5.699 1.264
F 2.460 -1.173 6.930
F 2.239 5.399 4.279
F 4.776 0.416 0.629
F 2.649 1.616 6.973
F 3.795 0.752 4.365
F 4.703 3.172 0.576
F 4.200 4.396 3.066
F 3.973 4.248 5.981
F 4.338 7.101 3.303
F 5.540 6.154 0.614